No. 1
LaTi2AgC | SCAN | PBEsol geometry

a b c (Å): 4.7290 4.7290 5.2278
angles (deg): 90.00 90.00 90.00
Space group P4/mmm (No. 123)
Asymmetric unit:
La 0.0000 0.0000 0.0000
Ti 0.0000 0.5000 0.0000
Ag 0.0000 0.0000 0.5000
C 0.5000 0.5000 0.5000

Computed properties:
Formation enthalpy at 0 K   2.772 eV per atom

No. 2
LiAg2C2 | SCAN | PBEsol geometry

a b c (Å): 5.5898 5.5898 4.0563
angles (deg): 90.00 90.00 90.00
Space group P4/mbm (No. 127)
Asymmetric unit:
Li 0.0000 0.0000 0.0000
Ag 0.1853 0.3147 0.5000
C 0.0822 0.4178 0.0000

Computed properties:
Formation enthalpy at 0 K   0.566 eV per atom

No. 3
SrMgAgC2 | SCAN | PBEsol geometry

a b c (Å): 4.2476 4.2476 5.2809
angles (deg): 90.00 90.00 90.00
Space group P4/mmm (No. 123)
Asymmetric unit:
Sr 0.0000 0.0000 0.0000
Mg 0.0000 0.0000 0.5000
Ag 0.5000 0.5000 0.0000
C 0.0000 0.5000 0.5000

Computed properties:
Formation enthalpy at 0 K   1.968 eV per atom

No. 4
Nb2AgMoC | SCAN | PBEsol geometry

a b c (Å): 4.3082 4.3082 4.0586
angles (deg): 90.00 90.00 90.00
Space group P4/mmm (No. 123)
Asymmetric unit:
Nb 0.0000 0.5000 0.0000
Ag 0.0000 0.0000 0.5000
Mo 0.5000 0.5000 0.5000
C 0.0000 0.0000 0.0000

Computed properties:
Formation enthalpy at 0 K   0.378 eV per atom

No. 5
TcAg2MoC | SCAN | PBEsol geometry

a b c (Å): 4.1505 4.1505 4.1395
angles (deg): 90.00 90.00 90.00
Space group P4/mmm (No. 123)
Asymmetric unit:
Tc 0.0000 0.0000 0.0000
Ag 0.0000 0.5000 0.5000
Mo 0.5000 0.5000 0.0000
C 0.5000 0.5000 0.5000

Computed properties:
Formation enthalpy at 0 K   1.072 eV per atom

No. 6
AgTeMo2C | SCAN | PBEsol geometry

a b c (Å): 5.0380 5.0380 3.6847
angles (deg): 90.00 90.00 90.00
Space group P4/mmm (No. 123)
Asymmetric unit:
Ag 0.0000 0.0000 0.0000
Te 0.5000 0.5000 0.5000
Mo 0.0000 0.5000 0.0000
C 0.0000 0.0000 0.5000

Computed properties:
Energy relative to the elements, uncorrected   2096 meV/atom

No. 7
NbAg2CN | SCAN | PBEsol geometry

a b c (Å): 4.0126 4.0126 4.3709
angles (deg): 90.00 90.00 90.00
Space group P4/mmm (No. 123)
Asymmetric unit:
Nb 0.0000 0.0000 0.0000
Ag 0.0000 0.5000 0.5000
C 0.0000 0.0000 0.5000
N 0.5000 0.5000 0.0000

Computed properties:
Energy relative to the elements, uncorrected   1233 meV/atom

No. 8
Rb2AgC3S3N3 | SCAN | PBEsol geometry

a b c (Å): 9.3385 15.8376 7.6936
angles (deg): 90.00 107.92 90.00
Space group P2_1/c (No. 14)
Asymmetric unit:
Rb 0.1381 0.0090 0.3198
Rb 0.3092 0.1547 0.9525
Ag 0.2611 0.7444 0.2683
C 0.0082 0.1869 0.5748
C 0.2501 0.5516 0.3779
C 0.4406 0.1515 0.4909
S 0.0726 0.7198 0.4516
S 0.3483 0.5946 0.2579
S 0.4350 0.6342 0.8092
N 0.0693 0.1203 0.5955
N 0.1796 0.5185 0.4636
N 0.3480 0.1628 0.3476

Computed properties:
Energy relative to the elements, uncorrected   -295 meV/atom

No. 9
AgCSe2N | SCAN | PBEsol geometry

a b c (Å): 5.0327 5.0327 3.8177
angles (deg): 90.00 90.00 90.00
Space group P4/mmm (No. 123)
Asymmetric unit:
Ag 0.0000 0.0000 0.0000
C 0.5000 0.5000 0.5000
Se 0.0000 0.5000 0.0000
N 0.0000 0.0000 0.5000

Computed properties:
Energy relative to the elements, uncorrected   2441 meV/atom

No. 10
NaYAg2C | SCAN | PBEsol geometry

a b c (Å): 5.5978 5.5978 4.3332
angles (deg): 90.00 90.00 90.00
Space group P4/mmm (No. 123)
Asymmetric unit:
Na 0.0000 0.0000 0.0000
Y 0.5000 0.5000 0.5000
Ag 0.0000 0.5000 0.5000
C 0.5000 0.5000 0.0000

Computed properties:
Formation enthalpy at 0 K   1.081 eV per atom

No. 11
Nb2AgPbC | SCAN | PBEsol geometry

a b c (Å): 4.3587 4.3587 4.3686
angles (deg): 90.00 90.00 90.00
Space group P4/mmm (No. 123)
Asymmetric unit:
Nb 0.0000 0.5000 0.0000
Ag 0.0000 0.0000 0.5000
Pb 0.5000 0.5000 0.5000
C 0.0000 0.0000 0.0000

Computed properties:
Formation enthalpy at 0 K   0.257 eV per atom

No. 12
ScNbAgC2 | SCAN | PBEsol geometry

a b c (Å): 4.1840 4.1840 4.8285
angles (deg): 90.00 90.00 90.00
Space group P4/mmm (No. 123)
Asymmetric unit:
Sc 0.0000 0.0000 0.0000
Nb 0.0000 0.0000 0.5000
Ag 0.5000 0.5000 0.5000
C 0.0000 0.5000 0.0000

Computed properties:
Formation enthalpy at 0 K   2.353 eV per atom

No. 13
NiAgC3 | SCAN | PBEsol geometry

a b c (Å): 3.7620 3.7620 3.7620
angles (deg): 90.00 90.00 90.00
Space group Pm-3m (No. 221)
Asymmetric unit:
Ni 0.0000 0.0000 0.0000
Ag 0.5000 0.5000 0.5000
C 0.0000 0.0000 0.5000

Computed properties:
Formation enthalpy at 0 K   2.383 eV per atom

No. 14
Ag2CO | SCAN | PBEsol geometry

a b c (Å): 5.5290 5.5290 6.7799
angles (deg): 90.00 90.00 90.00
Space group I-42d (No. 122)
Asymmetric unit:
Ag 0.2298 0.2500 0.1250
C 0.0000 0.0000 0.0000
O 0.0000 0.0000 0.5000

Computed properties:
Energy relative to the elements, uncorrected   1005 meV/atom

No. 15
AgP3C | SCAN | PBEsol geometry

a b c (Å): 4.6928 4.6928 4.6928
angles (deg): 90.00 90.00 90.00
Space group Pm-3m (No. 221)
Asymmetric unit:
Ag 0.0000 0.0000 0.0000
P 0.0000 0.0000 0.5000
C 0.5000 0.5000 0.5000

Computed properties:
Formation enthalpy at 0 K   2.614 eV per atom

No. 16
AgPb3C | SCAN | PBEsol geometry

a b c (Å): 4.9129 4.9129 4.9129
angles (deg): 90.00 90.00 90.00
Space group Pm-3m (No. 221)
Asymmetric unit:
Ag 0.0000 0.0000 0.0000
Pb 0.0000 0.5000 0.5000
C 0.5000 0.5000 0.5000

Computed properties:
E above lowest polymorph   0 meV/atom
Formation enthalpy at 0 K   1.051 eV per atom

No. 17
AgPb3C | SCAN | PBEsol geometry

a b c (Å): 5.3524 5.3524 5.3524
angles (deg): 90.00 90.00 90.00
Space group Pm-3m (No. 221)
Asymmetric unit:
Ag 0.0000 0.0000 0.0000
Pb 0.0000 0.0000 0.5000
C 0.5000 0.5000 0.5000

Computed properties:
E above lowest polymorph   609 meV/atom
Formation enthalpy at 0 K   1.660 eV per atom

No. 18
SrAg2PbC | SCAN | PBEsol geometry

a b c (Å): 4.4533 4.4533 5.1173
angles (deg): 90.00 90.00 90.00
Space group P4/mmm (No. 123)
Asymmetric unit:
Sr 0.0000 0.0000 0.0000
Ag 0.0000 0.5000 0.5000
Pb 0.5000 0.5000 0.0000
C 0.0000 0.0000 0.5000

Computed properties:
Formation enthalpy at 0 K   0.505 eV per atom

No. 19
Ag3PdC | SCAN | PBEsol geometry

a b c (Å): 4.9464 4.9464 4.9464
angles (deg): 90.00 90.00 90.00
Space group Pm-3m (No. 221)
Asymmetric unit:
Ag 0.0000 0.0000 0.5000
Pd 0.0000 0.0000 0.0000
C 0.5000 0.5000 0.5000

Computed properties:
Formation enthalpy at 0 K   2.120 eV per atom

No. 20
Ag3PtC | SCAN | PBEsol geometry

a b c (Å): 5.0007 5.0007 5.0007
angles (deg): 90.00 90.00 90.00
Space group Pm-3m (No. 221)
Asymmetric unit:
Ag 0.0000 0.0000 0.5000
Pt 0.0000 0.0000 0.0000
C 0.5000 0.5000 0.5000

Computed properties:
Formation enthalpy at 0 K   2.155 eV per atom

No. 21
RbAgC3 | SCAN | PBEsol geometry

a b c (Å): 4.4022 4.4022 4.4022
angles (deg): 90.00 90.00 90.00
Space group Pm-3m (No. 221)
Asymmetric unit:
Rb 0.0000 0.0000 0.0000
Ag 0.5000 0.5000 0.5000
C 0.0000 0.0000 0.5000

Computed properties:
Formation enthalpy at 0 K   4.535 eV per atom

No. 22
RbZnAg2C | SCAN | PBEsol geometry

a b c (Å): 5.8089 5.8089 4.9919
angles (deg): 90.00 90.00 90.00
Space group P4/mmm (No. 123)
Asymmetric unit:
Rb 0.0000 0.0000 0.0000
Zn 0.5000 0.5000 0.5000
Ag 0.0000 0.5000 0.0000
C 0.0000 0.0000 0.5000

Computed properties:
Formation enthalpy at 0 K   2.279 eV per atom

No. 23
ReAgC3 | SCAN | PBEsol geometry

a b c (Å): 3.9286 3.9286 3.9286
angles (deg): 90.00 90.00 90.00
Space group Pm-3m (No. 221)
Asymmetric unit:
Re 0.0000 0.0000 0.0000
Ag 0.5000 0.5000 0.5000
C 0.0000 0.5000 0.5000

Computed properties:
Formation enthalpy at 0 K   3.753 eV per atom

No. 24
AgRuWC2 | SCAN | PBEsol geometry

a b c (Å): 4.0391 4.0391 4.8019
angles (deg): 90.00 90.00 90.00
Space group P4/mmm (No. 123)
Asymmetric unit:
Ag 0.0000 0.0000 0.0000
Ru 0.5000 0.5000 0.0000
W 0.5000 0.5000 0.5000
C 0.0000 0.5000 0.5000

Computed properties:
Formation enthalpy at 0 K   1.969 eV per atom

No. 25
Ag2CS | SCAN | PBEsol geometry

a b c (Å): 6.0841 6.0841 6.0841
angles (deg): 90.00 90.00 90.00
Space group Fm-3m (No. 225)
Asymmetric unit:
Ag 0.2500 0.2500 0.2500
C 0.0000 0.0000 0.0000
S 0.0000 0.0000 0.5000

Computed properties:
Energy relative to the elements, uncorrected   1441 meV/atom

No. 26
Ag3SbC | SCAN | PBEsol geometry

a b c (Å): 4.3910 4.3910 4.3910
angles (deg): 90.00 90.00 90.00
Space group Pm-3m (No. 221)
Asymmetric unit:
Ag 0.0000 0.0000 0.5000
Sb 0.5000 0.5000 0.5000
C 0.0000 0.0000 0.0000

Computed properties:
Energy relative to the elements, uncorrected   898 meV/atom